Version one
# BePbSeBr2

An optimized crystal structure of BePbSeBr2 (PBE, Alexandria).

The structure belongs to space group P4/mmm (No. 123); the cell edges are 5.179, 5.179 and 4.870 Å and the angles 90.00°, 90.00° and 90.00°. The distinct sites, in fractional coordinates, are Be at (0.000, 0.000, 0.000), Pb at (0.500, 0.500, 0.500), Se at (0.000, 0.000, 0.500) and Br at (0.000, 0.500, 0.000).

Its mass density is 5.785 g/cm3.

---

Version two
# BePbSeBr2

An optimized crystal structure of BePbSeBr2 (PBE, Alexandria).

The structure belongs to space group P4/mmm (No. 123); the cell edges are 6.080, 6.080 and 11.437 Å and the angles 90.00°, 90.00° and 90.00°. The distinct sites, in fractional coordinates, are Be at (0.000, 0.000, 0.000), Pb at (0.500, 0.500, 0.500), Se at (0.500, 0.500, 0.000) and Br at (0.000, 0.500, 0.500).

Its mass density is 1.787 g/cm3.

---

The least stable of them is version two.

---

Version one
# BePd3Br

An optimized crystal structure of BePd3Br (PBE, Alexandria).

The structure belongs to space group Pm-3m (No. 221); the cell edges are 4.357, 4.357 and 4.357 Å and the angles 90.00°, 90.00° and 90.00°. The distinct sites, in fractional coordinates, are Be at (0.000, 0.000, 0.000), Pd at (0.000, 0.000, 0.500) and Br at (0.500, 0.500, 0.500).

Its mass density is 8.192 g/cm3.

---

Version two
# BePd3Br

An optimized crystal structure of BePd3Br (PBE, Alexandria).

The structure belongs to space group Pm-3m (No. 221); the cell edges are 4.734, 4.734 and 4.734 Å and the angles 90.00°, 90.00° and 90.00°. The distinct sites, in fractional coordinates, are Be at (0.000, 0.000, 0.000), Pd at (0.000, 0.500, 0.500) and Br at (0.500, 0.500, 0.500).

Its mass density is 6.387 g/cm3.

---

The least stable of them is version two.

---

Version one
# BePd2Br

An optimized crystal structure of BePd2Br (PBE, Alexandria).

The structure belongs to space group Fm-3m (No. 225); the cell edges are 6.278, 6.278 and 6.278 Å and the angles 90.00°, 90.00° and 90.00°. The distinct sites, in fractional coordinates, are Be at (0.000, 0.000, 0.000), Pd at (0.250, 0.250, 0.250) and Br at (0.000, 0.000, 0.500).

Its mass density is 8.099 g/cm3.

---

Version two
# BePd2Br

An optimized crystal structure of BePd2Br (PBE, Alexandria).

The structure belongs to space group I-42d (No. 122); the cell edges are 4.917, 4.917 and 12.946 Å and the angles 90.00°, 90.00° and 90.00°. The distinct sites, in fractional coordinates, are Be at (0.000, 0.000, 0.000), Pd at (0.170, 0.250, 0.125) and Br at (0.000, 0.000, 0.500).

Its mass density is 6.404 g/cm3.

---

The least stable of them is version one.

---

Version one
# Be2PdBr

An optimized crystal structure of Be2PdBr (PBE, Alexandria).

The structure belongs to space group I-42d (No. 122); the cell edges are 5.520, 5.520 and 9.360 Å and the angles 90.00°, 90.00° and 90.00°. The distinct sites, in fractional coordinates, are Be at (0.225, 0.250, 0.125), Pd at (0.000, 0.000, 0.000) and Br at (0.000, 0.000, 0.500).

Its mass density is 4.759 g/cm3.

---

Version two
# Be2PdBr

An optimized crystal structure of Be2PdBr (PBE, Alexandria).

The structure belongs to space group Fm-3m (No. 225); the cell edges are 6.094, 6.094 and 6.094 Å and the angles 90.00°, 90.00° and 90.00°. The distinct sites, in fractional coordinates, are Be at (0.250, 0.250, 0.250), Pd at (0.000, 0.000, 0.000) and Br at (0.000, 0.000, 0.500).

Its mass density is 5.998 g/cm3.

---

The least stable of them is version two.